No. 1
5
Lattice="4.816 0.000 0.000 0.000 4.816 0.000 0.000 0.000 4.971" Properties=species:S:1:pos:R:3 comment="CrAs2BrF | the Alexandria database | PBE with a Hubbard U | optimized geometry" mass_density_g_cm3=4.3 dft_energy_ev_per_atom=-3.82 relative_energy_mev_per_atom=107.3 pbc="T T T"
F 2.408 2.408 2.485
As 2.408 0.000 0.000
As 0.000 2.408 0.000
Br 0.000 0.000 2.485
Cr 0.000 0.000 0.000

No. 2
5
Lattice="4.310 0.000 0.000 0.000 4.310 0.000 0.000 0.000 5.880" Properties=species:S:1:pos:R:3 comment="CrAs2BrF | the Alexandria database | PBE with a Hubbard U | optimized geometry" mass_density_g_cm3=4.6 dft_energy_ev_per_atom=-3.92 relative_energy_mev_per_atom=0.0 pbc="T T T"
F 0.000 0.000 0.000
Br 0.000 0.000 2.940
As 0.000 2.155 0.000
As 2.155 0.000 0.000
Cr 2.155 2.155 2.940